1.
Material: La15Tm2Tl2
Method: DFT, GGA-PBE
State: relaxed

The structure in POSCAR format:
```
La15Tm2Tl2
1.0
5.5023 3.1768 6.2258
-5.5023 3.1768 6.2258
0.0000 -6.3536 6.2258
La Tm Tl
15 2 2
Cartesian
-5.5023 0.0000 9.3387
-1.6024 -3.5781 6.2258
-2.7512 1.5884 3.1129
-3.8999 0.4013 6.2258
-2.3305 -1.3455 8.5810
1.6024 -3.5781 6.2258
-2.2975 3.1768 6.2258
0.0000 -2.6911 10.0965
-2.3305 1.3455 10.0965
2.7512 1.5884 3.1129
2.3305 -1.3455 8.5810
0.0000 2.6911 8.5810
3.8999 0.4013 6.2258
2.2975 3.1768 6.2258
2.3305 1.3455 10.0965
0.0000 0.0000 5.5352
0.0000 0.0000 13.1423
0.0000 0.0000 1.8616
0.0000 0.0000 16.8159
```

formation energy = 0.11 eV per atom
density of states at the Fermi level = 1.169 states/eV/atom
ρ = 7.20 g/cm³
total magnetization = 0.00 μB/atom

***

2.
Material: La3TmTl2
Method: DFT, GGA-PBE
State: relaxed

The structure in POSCAR format:
```
La3TmTl2
1.0
5.2331 0.0000 0.0000
0.0000 10.5624 0.0000
0.0000 0.0000 6.8917
La Tm Tl
6 2 4
Cartesian
0.0000 0.5023 0.0000
0.0000 3.3579 2.7432
0.0000 7.2044 6.1891
0.0000 10.0601 3.4458
2.6165 2.0037 5.3594
2.6165 8.5586 1.9135
2.6165 4.8878 0.9027
2.6165 5.6746 4.3485
0.0000 3.9568 6.0758
0.0000 6.6056 2.6300
2.6165 1.4552 1.9639
2.6165 9.1072 5.4098
```

formation energy = -0.28 eV per atom
polymorph energy (0 for the lowest one) = 0.0 kJ/mol of formula units
density of states at the Fermi level = 1.192 states/eV/atom
ρ = 8.67 g/cm³
total magnetization = 0.00 μB/atom

***

3.
Material: LaTmTl4
Method: DFT, GGA-PBE
State: relaxed

The structure in POSCAR format:
```
LaTmTl4
1.0
3.6417 -3.6435 0.0000
3.6417 3.6435 0.0000
-0.0072 0.0000 7.6223
La Tm Tl
1 1 4
Cartesian
0.0000 0.0000 0.0000
3.6381 0.0000 3.8112
5.4607 -1.8205 2.0949
1.8155 1.8205 5.5274
5.4607 1.8205 2.0949
1.8155 -1.8205 5.5274
```

formation energy = -0.03 eV per atom
density of states at the Fermi level = 0.933 states/eV/atom
ρ = 9.24 g/cm³
total magnetization = 0.00 μB/atom

***

4.
Material: La6Tm5Tl
Method: DFT, GGA-PBE
State: relaxed

The structure in POSCAR format:
```
La6Tm5Tl
1.0
-2.5903 4.9010 7.7906
2.5903 -4.9010 7.7906
2.5903 4.9010 -7.7906
La Tm Tl
6 5 1
Cartesian
2.5903 2.4162 -2.6251
0.0000 2.4017 0.0000
2.5903 2.4162 2.6251
0.0000 2.4848 5.1655
0.0000 7.4003 0.0000
0.0000 2.4848 10.4157
0.0000 0.0000 2.6655
2.5903 0.0000 5.2345
0.0000 0.0000 7.7906
0.0000 4.9010 2.5561
0.0000 0.0000 12.9157
2.5903 0.0000 0.0000
```

formation energy = -0.03 eV per atom
density of states at the Fermi level = 1.382 states/eV/atom
ρ = 7.90 g/cm³
total magnetization = 0.00 μB/atom

***

5.
Material: La2Tm5Tl3
Method: DFT, GGA-PBE
State: relaxed

The structure in POSCAR format:
```
La2Tm5Tl3
1.0
-6.4288 7.4028 3.3641
6.4288 -7.4028 3.3641
6.4288 7.4028 -3.3641
La Tm Tl
4 10 6
Cartesian
1.8588 3.0884 0.0000
8.2876 4.3145 0.0000
-1.8588 3.0884 3.3641
4.5700 4.3145 3.3641
5.4092 2.3664 0.0000
0.0000 0.0000 1.6820
3.3436 0.0000 1.6820
9.5139 0.0000 1.6820
5.4092 -2.3664 3.3641
1.0196 9.7692 0.0000
-3.0852 7.4028 1.6820
3.0852 7.4028 1.6820
0.0000 0.0000 5.0461
1.0196 5.0364 3.3641
4.7185 -5.2860 3.3641
6.4288 0.0000 1.6820
4.7185 5.2860 0.0000
1.7103 2.1168 3.3641
0.0000 7.4028 1.6820
1.7103 12.6889 0.0000
```

formation energy = -0.06 eV per atom
density of states at the Fermi level = 1.405 states/eV/atom
ρ = 9.00 g/cm³
total magnetization = 0.01 μB/atom

***

6.
Material: LaTm3Tl
Method: DFT, GGA-PBE
State: relaxed

The structure in POSCAR format:
```
LaTm3Tl
1.0
7.3153 -6.5607 0.0000
7.3153 6.5607 0.0000
-1.6094 0.0000 6.3293
La Tm Tl
4 12 4
Cartesian
0.7604 0.8791 3.0141
-0.0443 -0.8791 6.1787
13.0654 0.8791 0.1506
12.2607 -0.8791 3.3152
5.7830 4.0281 0.1608
3.9808 2.4127 2.3026
3.1013 0.9875 5.4610
8.0428 4.0281 3.0039
3.9060 -0.9875 2.2963
3.1761 -2.4127 5.4672
9.8450 2.4127 0.8621
9.1151 0.9875 4.0330
4.9783 -4.0281 3.3254
9.9198 -0.9875 0.8683
9.0403 -2.4127 4.0267
7.2381 -4.0281 6.1685
6.1082 2.2298 4.7470
6.9129 1.0937 1.5823
6.1082 -1.0937 4.7470
6.9129 -2.2298 1.5823
```

formation energy = -0.04 eV per atom
density of states at the Fermi level = 1.255 states/eV/atom
ρ = 9.29 g/cm³
total magnetization = 0.00 μB/atom

***

7.
Material: LaTmTl
Method: DFT, GGA-PBE
State: relaxed

The structure in POSCAR format:
```
LaTmTl
1.0
-1.8397 1.8397 6.8842
1.8397 -1.8397 6.8842
1.8397 1.8397 -6.8842
La Tm Tl
1 1 1
Cartesian
0.0000 0.0000 0.0000
0.0000 0.0000 9.5006
0.0000 0.0000 4.5595
```

formation energy = -0.22 eV per atom
polymorph energy (0 for the lowest one) = 10.7 kJ/mol of formula units
density of states at the Fermi level = 1.073 states/eV/atom
ρ = 9.13 g/cm³
total magnetization = 0.00 μB/atom

***

8.
Material: La5Tm4Tl4
Method: DFT, GGA-PBE
State: relaxed

The structure in POSCAR format:
```
La5Tm4Tl4
1.0
-6.4732 6.4732 2.5021
6.4732 -6.4732 2.5021
6.4732 6.4732 -2.5021
La Tm Tl
5 4 4
Cartesian
0.0000 0.0000 0.0000
7.9430 3.9145 0.0000
3.9145 5.0033 0.0000
2.5586 1.4699 2.5021
-1.4699 2.5586 2.5021
5.2821 1.2154 0.0000
5.2578 -1.1910 2.5021
1.2154 7.6642 0.0000
1.1910 5.2578 2.5021
9.7890 1.0820 0.0000
1.0820 3.1573 0.0000
5.3912 3.3158 2.5021
-3.3158 5.3912 2.5021
```

formation energy = -0.26 eV per atom
density of states at the Fermi level = 1.137 states/eV/atom
ρ = 8.66 g/cm³
total magnetization = 0.00 μB/atom